## Ac6Os2Pd (GGA-PBE)

Data for Ac6Os2Pd after structural relaxation.

## Properties
As for the formation enthalpy at 0 K: -204 meV/atom. For the calculated density, the calculation gives 9.07 g/cm³. The calculated volume is 37.61 Å³/atom. As for the space group: C2/m, No. 12.

abc: 4.442 8.379 9.450
angles: 97.85 103.59 90.00
Fractional positions:
Ac: 0.008 0.253 0.017
Ac: 0.330 0.432 0.661
Ac: 0.669 0.096 0.337
Os: 0.834 0.675 0.669
Ac: 0.331 0.904 0.663
Ac: 0.670 0.568 0.339
Pd: 0.500 0.000 0.000
Os: 0.166 0.325 0.331
Ac: 0.992 0.747 0.983


## Sm2Dy2YEr4 (GGA-PBE)

Data for Sm2Dy2YEr4 after structural relaxation.

## Properties
As for the formation enthalpy at 0 K: -2 meV/atom. For the calculated density, the calculation gives 8.06 g/cm³. The calculated volume is 31.68 Å³/atom. As for the space group: C2/m, No. 12.

abc: 3.580 9.465 9.514
angles: 115.25 90.00 100.90
Fractional positions:
Dy: 0.147 0.295 0.664
Er: 0.519 0.039 0.336
Er: 0.481 0.961 0.664
Sm: 0.334 0.668 0.000
Er: 0.186 0.371 0.336
Dy: 0.853 0.705 0.336
Y: 0.000 0.000 0.000
Er: 0.814 0.629 0.664
Sm: 0.666 0.332 0.000